Crystalline CsFeTe2O8 at its relaxed geometry. Source: Alexandria, functional PBE+U.

a = 5.200 Å, b = 5.200 Å, c = 9.448 Å
α = 90.00°, β = 90.00°, γ = 120.00°
Last column: magnetic moment on the atom in μB.
Positions (direct):
1 Cs 0.000 0.000 0.000  0.00
2 O 0.004 0.306 0.621  -0.01
3 Te 0.667 0.333 0.325  0.00
4 O 0.301 0.996 0.621  -0.01
5 O 0.333 0.667 0.867  -0.01
6 O 0.996 0.694 0.379  -0.01
7 O 0.699 0.004 0.379  -0.01
8 Te 0.333 0.667 0.675  0.00
9 Fe 0.000 0.000 0.500  1.12
10 O 0.306 0.301 0.379  -0.01
11 O 0.667 0.333 0.133  -0.01
12 O 0.694 0.699 0.621  -0.01

- density (g/cm3) = 4.29
- total magnetic moment (μB per atom) = 0.085
- D(E_F) (states/eV/f.u.) = 0.0
- space group = P-3, No. 147
- E_tot (eV per cell) = -63.86